Crystalline YMnIO2 at its relaxed geometry, computed with PBE with a Hubbard U.

**DOS at the Fermi energy**: 2.8 states/eV/cell
**Energy relative to the lowest polymorph listed for this composition**: 0.000 eV/atom
**E_tot**: -0.230 hartree per atom
**ρ**: 4238 kg/m³

a b c (Å): 4.372 4.372 6.206
angles (deg): 90.00 90.00 90.00
Space group P4/mmm (No. 123)
Inequivalent atoms, fractional coordinates:
Y  0.000  0.000  0.000 x1
Mn  0.500  0.500  0.500 x1
I  0.000  0.000  0.500 x1
O  0.000  0.500  0.000 x2